Entry 1:
Crystalline Ce4PrSm at its relaxed geometry. Source: the Alexandria database, functional PBE.

- ΔE_f: 0.20 eV/atom
- DFT total energy: -5.336 eV/atom

Unit cell a=6.3773 b=6.3773 c=6.3773 alpha=60.00 beta=60.00 gamma=60.00
Fractional coordinates of all 6 atoms:
Pr (0.0000, 0.0000, 0.0000)
Ce (0.6220, 0.6220, 0.1341)
Ce (0.6220, 0.1341, 0.6220)
Ce (0.6220, 0.6220, 0.6220)
Ce (0.1341, 0.6220, 0.6220)
Sm (0.2500, 0.2500, 0.2500)

=====

Entry 2:
Crystalline CePr2Sm at its relaxed geometry. Source: the Alexandria database, functional PBE.

- ΔE_f: 0.07 eV/atom
- DFT total energy: -4.986 eV/atom

Unit cell a=3.6409 b=3.6409 c=11.9971 alpha=81.27 beta=81.27 gamma=60.00
Fractional coordinates of all 4 atoms:
Ce (0.6669, 0.6669, 0.9993)
Pr (0.0813, 0.0813, 0.7560)
Pr (0.2519, 0.2519, 0.2443)
Sm (0.4999, 0.4999, 0.5004)

=====

Entry 3:
Crystalline CePr2Sm at its relaxed geometry. Source: the Alexandria database, functional PBE.

- ΔE_f: 0.08 eV/atom
- DFT total energy: -4.970 eV/atom

Unit cell a=5.1436 b=5.1485 c=5.1485 alpha=90.00 beta=90.00 gamma=90.00
Fractional coordinates of all 4 atoms:
Pr (0.0000, 0.0000, 0.5000)
Pr (0.0000, 0.5000, 0.0000)
Ce (0.5000, 0.5000, 0.5000)
Sm (0.5000, 0.0000, 0.0000)

=====

Entry 4:
Crystalline Tb2CePrSm6 at its relaxed geometry. Source: the Alexandria database, functional PBE.

- ΔE_f: 0.24 eV/atom
- DFT total energy: -4.586 eV/atom

Unit cell a=8.9942 b=6.8568 c=6.6683 alpha=120.94 beta=102.32 gamma=90.00
Fractional coordinates of all 10 atoms:
Tb (0.1618, 0.0897, 0.1794)
Tb (0.8382, 0.9103, 0.8206)
Ce (0.0000, 0.5000, 0.0000)
Pr (0.5000, 0.0000, 0.0000)
Sm (0.4151, 0.6279, 0.2558)
Sm (0.1969, 0.0669, 0.6565)
Sm (0.8031, 0.4103, 0.3435)
Sm (0.1969, 0.5897, 0.6565)
Sm (0.8031, 0.9331, 0.3435)
Sm (0.5849, 0.3721, 0.7442)

=====

| no. | total magnetization (μB/f.u.) |
| --- | --- |
| 1 | 4.6 |
| 2 | 0.6 |
| 3 | 0.8 |
| 4 | 1.5 |